The following is a GGA+U calculation of an optimized crystal structure of K2TlFeF6, from Alexandria via LeMat-Bulk.

Unit cell a=6.258 b=6.503 c=10.884 alpha=90.00 beta=124.87 gamma=90.00
Element x y z (fractional)
K  0.236  0.051  0.252
K  0.236  0.449  0.752
K  0.764  0.551  0.248
K  0.764  0.949  0.748
Tl  0.500  0.000  0.000
Tl  0.500  0.500  0.500
Fe  0.000  0.000  0.500
Fe  0.000  0.500  0.000
F  0.082  0.248  0.430
F  0.082  0.252  0.930
F  0.206  0.666  0.952
F  0.206  0.834  0.452
F  0.312  0.053  0.703
F  0.312  0.447  0.203
F  0.688  0.553  0.797
F  0.688  0.947  0.297
F  0.794  0.166  0.548
F  0.794  0.334  0.048
F  0.918  0.748  0.070
F  0.918  0.752  0.570

## Properties
As for the space group: No. 14. Its total magnetic moment is 5.0 μB per formula unit.

The following is a GGA+U calculation of an optimized crystal structure of K2Tl2FeF6, from Alexandria via LeMat-Bulk.

Unit cell a=6.358 b=6.358 c=6.523 alpha=98.16 beta=98.16 gamma=117.37
Element x y z (fractional)
K  0.158  0.842  0.000
K  0.842  0.158  0.000
Tl  0.330  0.670  0.500
Tl  0.670  0.330  0.500
Fe  0.500  0.500  0.000
F  0.174  0.448  0.816
F  0.305  0.305  0.226
F  0.448  0.174  0.816
F  0.552  0.826  0.184
F  0.695  0.695  0.774
F  0.826  0.552  0.184

## Properties
As for the space group: No. 12. Its total magnetic moment is 4.0 μB per formula unit.

The following is a GGA+U calculation of an optimized crystal structure of K2TlFeF6, from Alexandria via LeMat-Bulk.

Unit cell a=6.471 b=6.471 c=6.471 alpha=60.00 beta=60.00 gamma=60.00
Element x y z (fractional)
K  0.250  0.250  0.250
K  0.750  0.750  0.750
Tl  0.000  0.000  0.000
Fe  0.500  0.500  0.500
F  0.286  0.286  0.714
F  0.286  0.714  0.286
F  0.286  0.714  0.714
F  0.714  0.286  0.286
F  0.714  0.286  0.714
F  0.714  0.714  0.286

## Properties
As for the space group: No. 225. Its total magnetic moment is 5.0 μB per formula unit.

The following is a GGA+U calculation of an optimized crystal structure of KTlFeF6, from Alexandria via LeMat-Bulk.

Unit cell a=5.851 b=5.851 c=10.872 alpha=90.00 beta=90.00 gamma=120.00
Element x y z (fractional)
K  0.000  0.000  0.000
K  0.000  0.000  0.500
Tl  0.333  0.667  0.250
Tl  0.667  0.333  0.750
Fe  0.333  0.667  0.750
Fe  0.667  0.333  0.250
F  0.014  0.380  0.647
F  0.014  0.634  0.853
F  0.366  0.380  0.853
F  0.366  0.986  0.647
F  0.380  0.014  0.147
F  0.380  0.366  0.353
F  0.620  0.634  0.647
F  0.620  0.986  0.853
F  0.634  0.014  0.353
F  0.634  0.620  0.147
F  0.986  0.366  0.147
F  0.986  0.620  0.353

## Properties
As for the space group: No. 163. Its total magnetic moment is 4.0 μB per formula unit.

The following is a GGA+U calculation of an optimized crystal structure of KYFeF6, from Alexandria via LeMat-Bulk.

Unit cell a=5.821 b=5.821 c=11.009 alpha=90.00 beta=90.00 gamma=120.00
Element x y z (fractional)
K  0.000  0.000  0.000
K  0.000  0.000  0.500
Y  0.333  0.667  0.250
Y  0.667  0.333  0.750
Fe  0.333  0.667  0.750
Fe  0.667  0.333  0.250
F  0.012  0.379  0.647
F  0.012  0.633  0.853
F  0.367  0.379  0.853
F  0.367  0.988  0.647
F  0.379  0.012  0.147
F  0.379  0.367  0.353
F  0.621  0.633  0.647
F  0.621  0.988  0.853
F  0.633  0.012  0.353
F  0.633  0.621  0.147
F  0.988  0.367  0.147
F  0.988  0.621  0.353

## Properties
As for the space group: No. 163. Its total magnetic moment is 4.0 μB per formula unit.

The following is a GGA+U calculation of an optimized crystal structure of K2ZnFe3F12, from Alexandria via LeMat-Bulk.

Unit cell a=7.376 b=7.376 c=7.376 alpha=59.69 beta=59.69 gamma=59.69
Element x y z (fractional)
K  0.142  0.142  0.142
K  0.858  0.858  0.858
Zn  0.500  0.500  0.500
Fe  0.000  0.500  0.500
Fe  0.500  0.000  0.500
Fe  0.500  0.500  0.000
F  0.164  0.580  0.580
F  0.184  0.184  0.573
F  0.184  0.573  0.184
F  0.420  0.420  0.836
F  0.420  0.836  0.420
F  0.427  0.816  0.816
F  0.573  0.184  0.184
F  0.580  0.164  0.580
F  0.580  0.580  0.164
F  0.816  0.427  0.816
F  0.816  0.816  0.427
F  0.836  0.420  0.420

## Properties
As for the space group: No. 166. Its total magnetic moment is 10.0 μB per formula unit.

The following is a GGA+U calculation of an optimized crystal structure of LaFeF2, from Alexandria via LeMat-Bulk.

Unit cell a=4.511 b=4.511 c=4.511 alpha=60.00 beta=60.00 gamma=60.00
Element x y z (fractional)
La  0.000  0.000  0.000
Fe  0.500  0.500  0.500
F  0.250  0.250  0.250
F  0.750  0.750  0.750

## Properties
As for the space group: No. 225. Its total magnetic moment is 2.9 μB per formula unit.

The following is a GGA+U calculation of an optimized crystal structure of LaFeF3, from Alexandria via LeMat-Bulk.

Unit cell a=4.222 b=4.222 c=4.222 alpha=90.00 beta=90.00 gamma=90.00
Element x y z (fractional)
La  0.000  0.000  0.000
Fe  0.500  0.500  0.500
F  0.000  0.500  0.500
F  0.500  0.000  0.500
F  0.500  0.500  0.000

## Properties
As for the space group: No. 221. Its total magnetic moment is 2.2 μB per formula unit.

The following is a GGA+U calculation of an optimized crystal structure of LaFe2F, from Alexandria via LeMat-Bulk.

Unit cell a=4.939 b=4.939 c=4.939 alpha=60.00 beta=60.00 gamma=60.00
Element x y z (fractional)
La  0.000  0.000  0.000
Fe  0.250  0.250  0.250
Fe  0.750  0.750  0.750
F  0.500  0.500  0.500

## Properties
As for the space group: No. 225. Its total magnetic moment is 6.1 μB per formula unit.

The following is a GGA+U calculation of an optimized crystal structure of LaFe2F8, from Alexandria via LeMat-Bulk.

Unit cell a=5.974 b=5.974 c=5.277 alpha=96.26 beta=96.26 gamma=59.48
Element x y z (fractional)
La  0.000  0.000  0.000
Fe  0.289  0.289  0.494
Fe  0.711  0.711  0.506
F  0.074  0.623  0.714
F  0.147  0.147  0.720
F  0.377  0.926  0.286
F  0.405  0.405  0.251
F  0.595  0.595  0.749
F  0.623  0.074  0.714
F  0.853  0.853  0.280
F  0.926  0.377  0.286

## Properties
As for the space group: No. 12. Its total magnetic moment is 9.0 μB per formula unit.

The following is a GGA+U calculation of an optimized crystal structure of LaFeF3, from Alexandria via LeMat-Bulk.

Unit cell a=4.728 b=4.728 c=4.728 alpha=90.00 beta=90.00 gamma=90.00
Element x y z (fractional)
La  0.000  0.000  0.000
Fe  0.500  0.500  0.500
F  0.000  0.000  0.500
F  0.000  0.500  0.000
F  0.500  0.000  0.000

## Properties
As for the space group: No. 221. Its total magnetic moment is 4.0 μB per formula unit.

| no. | energy (Ry per atom) |
| --- | --- |
| 1 | -0.3437 |
| 2 | -0.3276 |
| 3 | -0.3402 |
| 4 | -0.3346 |
| 5 | -0.4298 |
| 6 | -0.3491 |
| 7 | -0.3971 |
| 8 | -0.3799 |
| 9 | -0.3061 |
| 10 | -0.4235 |
| 11 | -0.4205 |